The following is a DFT calculation (GGA-PBE) of a relaxed structure of TmSi2Rh3.

Values from the calculation:
Its symmetry is C2/m. Its total energy is -7.2244 eV/atom. The calculation puts the density of states at the Fermi level at 2.56 states/eV/f.u. The size of the total moment comes out at 0.0 μB per formula unit. For the volume, the calculation gives 15.9 A^3/atom.

Geometry as POSCAR:
```
TmSi2Rh3
1.0
7.917 -1.974 0.000
7.917 1.974 0.000
-3.038 0.000 9.168
Tm Si Rh
3 6 9
direct
0.000 0.000 0.000
0.161 0.161 0.699
0.839 0.839 0.301
0.195 0.195 0.128
0.362 0.362 0.553
0.463 0.463 0.221
0.537 0.537 0.779
0.638 0.638 0.447
0.805 0.805 0.872
0.038 0.038 0.327
0.218 0.218 0.392
0.322 0.322 0.044
0.380 0.380 0.805
0.500 0.500 0.500
0.620 0.620 0.195
0.678 0.678 0.956
0.782 0.782 0.608
0.962 0.962 0.673
```